## RbCrO3 (PBE+U)

Data for an optimized crystal structure of RbCrO3.

Summary:
- size of the total moment (μB per formula unit) = 1.00
- uncorrected energy (eV/atom) = -6.1285

abc: 3.187 7.485 7.727
angles: 90.00 101.90 90.00
Atoms (fractional coordinates):
Rb (0.168, 0.250, 0.336)
Rb (0.832, 0.750, 0.664)
Cr (0.411, 0.250, 0.821)
Cr (0.589, 0.750, 0.179)
O (0.650, 0.934, 0.301)
O (0.350, 0.066, 0.699)
O (0.350, 0.434, 0.699)
O (0.975, 0.250, 0.949)
O (0.025, 0.750, 0.051)
O (0.650, 0.566, 0.301)